# 1
CaYAl after structural relaxation, computed with PBE.

```
CaYAl
1.0
5.316 0.000 0.000
-2.658 4.604 0.000
0.000 0.000 6.735
Ca Y Al
2 2 2
Direct
0.000 0.000 0.000
0.000 0.000 0.500
0.333 0.667 0.250
0.667 0.333 0.750
0.333 0.667 0.750
0.667 0.333 0.250
```

* space group: P6_3/mmc
* relative energy among the computed polymorphs: 0.000 eV per atom
* calculated formation energy: -72 kJ/mol of formula units
* raw total energy: -4.32 eV per atom
* total magnetic moment: 0.00 Bohr magnetons per cell



# 2
SrPm2ThSe4 after structural relaxation, computed with PBE.

```
SrPm2ThSe4
1.0
7.301 0.000 0.000
0.000 4.216 0.000
-2.435 0.000 7.022
Sr Pm Th Se
1 2 1 4
Direct
0.000 0.000 0.000
0.500 0.000 0.500
0.500 0.500 0.000
0.000 0.500 0.500
0.253 0.000 0.749
0.255 0.500 0.256
0.745 0.500 0.744
0.747 0.000 0.251
```

* space group: P2/m
* raw total energy: -5.84 eV per atom
* total magnetic moment: 0.00 Bohr magnetons per cell
* uncorrected formation energy: -1.77 eV per atom



# 3
BaGaHg2Sb after structural relaxation, computed with PBE.

```
BaGaHg2Sb
1.0
5.311 0.000 0.000
0.000 5.311 0.000
0.000 0.000 5.753
Ba Ga Hg Sb
1 1 2 1
Direct
0.000 0.000 0.000
0.500 0.500 0.500
0.000 0.500 0.500
0.500 0.000 0.500
0.500 0.500 0.000
```

* space group: P4/mmm
* relative energy among the computed polymorphs: 0.085 eV per atom
* raw total energy: -2.25 eV per atom
* total magnetic moment: 0.00 Bohr magnetons per cell
* uncorrected formation energy: -0.31 eV per atom